# ZnMoOs3

A geometry-optimized ZnMoOs3 structure (PBE, the Alexandria database).

Values from the calculation:
E above lowest polymorph ... 0.0000 eV per atom
Formation enthalpy at 0 K ... 1.97 eV per atom

POSCAR file:
```
ZnMoOs3
1.0
4.402 0.000 0.000
0.000 4.402 0.000
0.000 0.000 4.402
Zn Mo Os
1 1 3
direct
0.000 0.000 0.000 Zn
0.500 0.500 0.500 Mo
0.000 0.000 0.500 Os
0.000 0.500 0.000 Os
0.500 0.000 0.000 Os
```